Computed, not measured: an optimized crystal structure of KCoP2S8 at the PBE-GGA level of DFT.

**SG**: No. 147
**Formation energy from raw total energies**: -0.24 eV/atom
**M_tot**: 1.82 Bohr magnetons per cell

Lattice parameters (Å, degrees): 5.675 5.675 9.856 90.00 90.00 120.00
Last column: magnetic moment on the atom in μB.
Element x y z (fractional)
K 0.000 0.000 0.000  0.00
Co 0.000 0.000 0.500  0.47
P 0.667 0.333 0.301  -0.01
P 0.333 0.667 0.699  -0.01
S 0.333 0.667 0.902  0.06
S 0.311 0.331 0.363  0.13
S 0.669 0.980 0.363  0.13
S 0.667 0.333 0.098  0.06
S 0.331 0.020 0.637  0.13
S 0.689 0.669 0.637  0.13
S 0.980 0.311 0.637  0.13
S 0.020 0.689 0.363  0.13